Record 1
Here is a relaxed structure of PrTmCoCu from Alexandria via LeMat-Bulk. Energies are from PBE-GGA.

a = 4.8872 Å, b = 4.8872 Å, c = 4.8872 Å
α = 60.00°, β = 60.00°, γ = 60.00°
Last column: nearest neighbours and their distance in Å.
Fractional coordinates of all 4 atoms:
Pr 0.5000 0.5000 0.5000  4 Cu 2.99, 4 Co 2.99
Tm 0.0000 0.0000 0.0000  4 Co 2.99, 4 Cu 2.99
Co 0.7500 0.7500 0.7500  4 Pr 2.99, 4 Tm 2.99
Cu 0.2500 0.2500 0.2500  4 Pr 2.99, 4 Tm 2.99

- SG = F-43m
- DFT formation energy (eV per atom) = -0.11
- calculated total energy (eV per atom) = -5.222

Record 2
Here is a relaxed structure of AlCoTe2 from Alexandria via LeMat-Bulk. Energies are from PBE-GGA.

a = 6.5354 Å, b = 6.5354 Å, c = 6.5354 Å
α = 153.04°, β = 137.71°, γ = 50.87°
Last column: nearest neighbours and their distance in Å.
Fractional coordinates of all 4 atoms:
Te 0.0630 0.0630 0.0000  2 Co 2.65
Te 0.7694 0.2694 0.5000  4 Co 2.82, 2 Al 2.96, 2 Te 3.05
Co 0.2467 0.7467 0.5000  2 Al 2.56, 6 Te 2.65-2.82
Al 0.4209 0.4209 0.0000  2 Co 2.56

- SG = Imm2
- calculated total energy (eV per atom) = -4.097
- uncorrected formation energy (eV/atom) = 0.1857

Record 3
Here is a relaxed structure of AcTb2Nd4 from Alexandria via LeMat-Bulk. Energies are from PBE-GGA.

a = 6.9566 Å, b = 6.9566 Å, c = 12.9437 Å
α = 140.25°, β = 140.25°, γ = 56.38°
Last column: nearest neighbours and their distance in Å.
Fractional coordinates of all 7 atoms:
Ac 0.0000 0.0000 0.0000  6 Nd 3.48-3.55, 4 Tb 3.70
Tb 0.2749 0.2749 0.7342  2 Tb 3.30-3.40, 2 Nd 3.68
Tb 0.7251 0.7251 0.2658  2 Tb 3.30-3.40, 2 Nd 3.68
Nd 0.3445 0.3445 0.5075  1 Ac 3.55, 6 Nd 3.57-3.93, 3 Tb 3.70-3.84
Nd 0.6555 0.6555 0.4925  1 Ac 3.55, 6 Nd 3.57-3.93, 3 Tb 3.70-3.84
Nd 0.0000 0.5000 0.0000  4 Nd 3.29-3.57, 2 Ac 3.48, 2 Tb 3.68
Nd 0.5000 0.0000 0.0000  4 Nd 3.29-3.57, 2 Ac 3.48, 2 Tb 3.68

- SG = C2/m
- DFT formation energy (eV per atom) = 0.23
- calculated total energy (eV per atom) = -4.406
- ΔE to the lowest computed polymorph (meV per atom) = 14

Record 4
Here is a relaxed structure of TiZn6O6 from Alexandria via LeMat-Bulk. Energies are from PBE-GGA.

a = 5.7432 Å, b = 5.7432 Å, c = 5.7432 Å
α = 90.00°, β = 90.00°, γ = 90.00°
Last column: nearest neighbours and their distance in Å.
Fractional coordinates of all 13 atoms:
Ti 0.0000 0.0000 0.0000  12 O 3.20, 12 Zn 3.22
Zn 0.2539 0.5000 0.0000  4 O 2.03-2.04
Zn 0.7461 0.5000 0.0000  4 O 2.03-2.04
Zn 0.5000 0.0000 0.2539  4 O 2.03-2.04
Zn 0.5000 0.0000 0.7461  4 O 2.03-2.04
Zn 0.0000 0.2539 0.5000  4 O 2.03-2.04
Zn 0.0000 0.7461 0.5000  4 O 2.03-2.04
O 0.2474 0.0000 0.5000  4 Zn 2.03-2.04
O 0.7526 0.0000 0.5000  4 Zn 2.03-2.04
O 0.0000 0.5000 0.2474  4 Zn 2.03-2.04
O 0.0000 0.5000 0.7526  4 Zn 2.03-2.04
O 0.5000 0.2474 0.0000  4 Zn 2.03-2.04
O 0.5000 0.7526 0.0000  4 Zn 2.03-2.04

- SG = Pm-3
- calculated total energy (eV per atom) = -4.441
- uncorrected formation energy (eV/atom) = -0.9572

Record 5
Here is a relaxed structure of TbErTcHg from Alexandria via LeMat-Bulk. Energies are from PBE-GGA.

a = 5.0259 Å, b = 5.0259 Å, c = 5.0259 Å
α = 60.00°, β = 60.00°, γ = 60.00°
Last column: nearest neighbours and their distance in Å.
Fractional coordinates of all 4 atoms:
Tc 0.2500 0.2500 0.2500  4 Tb 3.08, 4 Er 3.08
Tb 0.0000 0.0000 0.0000  4 Hg 3.08, 4 Tc 3.08
Hg 0.7500 0.7500 0.7500  4 Er 3.08, 4 Tb 3.08
Er 0.5000 0.5000 0.5000  4 Tc 3.08, 4 Hg 3.08

- SG = F-43m
- DFT formation energy (eV per atom) = -0.16
- calculated total energy (eV per atom) = -5.125

Record 6
Here is a relaxed structure of LaHf3N from Alexandria via LeMat-Bulk. Energies are from PBE-GGA.

a = 5.1030 Å, b = 5.1030 Å, c = 5.1030 Å
α = 90.00°, β = 90.00°, γ = 90.00°
Last column: nearest neighbours and their distance in Å.
Fractional coordinates of all 5 atoms:
N 0.5000 0.5000 0.5000  12 Hf 3.61
Hf 0.0000 0.5000 0.0000  2 La 2.55
Hf 0.0000 0.0000 0.5000  2 La 2.55
Hf 0.5000 0.0000 0.0000  2 La 2.55
La 0.0000 0.0000 0.0000  6 Hf 2.55

- SG = Pm-3m
- calculated total energy (eV per atom) = -5.965
- ΔE to the lowest computed polymorph (meV per atom) = 3049
- uncorrected formation energy (eV/atom) = 2.6573

Record 7
Here is a relaxed structure of Ac2LaErSe4 from Alexandria via LeMat-Bulk. Energies are from PBE-GGA.

a = 4.2290 Å, b = 7.3982 Å, c = 7.6966 Å
α = 108.30°, β = 90.00°, γ = 90.00°
Last column: nearest neighbours and their distance in Å.
Fractional coordinates of all 8 atoms:
Ac 0.5000 0.0000 0.5000  6 Se 3.12
Ac 0.0000 0.5000 0.5000  6 Se 3.21-3.22
La 0.5000 0.5000 0.0000  6 Se 3.01-3.02
Er 0.0000 0.0000 0.0000  6 Se 2.91
Se 0.5000 0.2297 0.2228  2 Er 2.91, 1 La 3.02, 3 Ac 3.12-3.22
Se 0.5000 0.7703 0.7772  2 Er 2.91, 1 La 3.02, 3 Ac 3.12-3.22
Se 0.0000 0.2452 0.7697  1 Er 2.91, 2 La 3.01, 3 Ac 3.12-3.21
Se 0.0000 0.7548 0.2303  1 Er 2.91, 2 La 3.01, 3 Ac 3.12-3.21

- SG = P2/m
- calculated total energy (eV per atom) = -5.796
- uncorrected formation energy (eV/atom) = -1.8399

Record 8
Here is a relaxed structure of LiCd4Sn2 from Alexandria via LeMat-Bulk. Energies are from PBE-GGA.

a = 4.5511 Å, b = 4.9321 Å, c = 9.4611 Å
α = 76.95°, β = 90.00°, γ = 117.48°
Last column: nearest neighbours and their distance in Å.
Fractional coordinates of all 7 atoms:
Li 0.0000 0.0000 0.5000  10 Cd 2.91-3.22
Cd 0.6801 0.3601 0.2786  4 Cd 2.88-3.05, 2 Sn 3.07, 2 Li 3.22
Cd 0.3199 0.6399 0.7214  4 Cd 2.88-3.05, 2 Sn 3.07, 2 Li 3.22
Cd 0.6576 0.3151 0.6025  6 Cd 2.88-3.16, 3 Li 2.91-2.95, 1 Sn 3.14
Cd 0.3424 0.6849 0.3975  6 Cd 2.88-3.16, 3 Li 2.91-2.95, 1 Sn 3.14
Sn 0.6736 0.3471 0.9298  3 Sn 2.99-3.10, 4 Cd 3.07-3.32
Sn 0.3264 0.6529 0.0702  3 Sn 2.99-3.10, 4 Cd 3.07-3.32

- SG = C2/m
- DFT formation energy (eV per atom) = 0.00
- calculated total energy (eV per atom) = -1.943

> The lowest calculated total energy belongs to which entry?

LaHf3N

> Which of these has the highest calculated total energy?

LiCd4Sn2

> What is the calculated total energy in the third record?

-4.406 eV per atom